No. 1
DFT (PBE-GGA) results for Ho2Er12Tm5 after structural relaxation.

* offset from the most stable computed form: 0.0 kJ per mole of atoms
* ΔE_f: 0.064 eV per atom
* total DFT energy (no corrections): -4.476 eV per atom
* total magnetization: 0.0 μB/f.u.

Unit cell a=6.1536 b=8.6736 c=11.9073 alpha=69.18 beta=80.50 gamma=79.23
Closest atoms and distances in Å follow each position.
Positions (direct):
Ho: 0.2409 0.4942 0.0676  5 Er 3.20-3.44, 2 Ho 3.33-3.57, 2 Tm 3.35-3.51
Ho: 0.7591 0.5058 0.9324  5 Er 3.20-3.44, 2 Ho 3.33-3.57, 2 Tm 3.35-3.51
Er: 0.0437 0.0752 0.3249  6 Er 3.41-3.63, 5 Tm 3.52-3.75
Er: 0.1919 0.2606 0.6652  7 Er 3.34-3.62, 5 Tm 3.46-3.63
Er: 0.2293 0.4002 0.3595  1 Ho 3.27, 6 Er 3.34-3.62, 4 Tm 3.35-3.57
Er: 0.2665 0.5363 0.7876  2 Ho 3.20-3.32, 2 Tm 3.31-3.43, 5 Er 3.34-3.50
Er: 0.3331 0.7940 0.1744  4 Tm 3.31-3.63, 6 Er 3.36-3.62, 1 Ho 3.44
Er: 0.4095 0.8737 0.8416  6 Er 3.42-3.74, 2 Ho 3.42-3.63, 4 Tm 3.58-3.79
Er: 0.5905 0.1263 0.1584  6 Er 3.42-3.74, 2 Ho 3.42-3.63, 4 Tm 3.58-3.79
Er: 0.6669 0.2060 0.8256  4 Tm 3.31-3.63, 6 Er 3.36-3.62, 1 Ho 3.44
Er: 0.7335 0.4637 0.2124  2 Ho 3.20-3.32, 2 Tm 3.31-3.43, 5 Er 3.34-3.50
Er: 0.7707 0.5998 0.6405  1 Ho 3.27, 6 Er 3.34-3.62, 4 Tm 3.35-3.57
Er: 0.8081 0.7394 0.3348  7 Er 3.34-3.62, 5 Tm 3.46-3.63
Er: 0.9563 0.9248 0.6751  6 Er 3.41-3.63, 5 Tm 3.52-3.75
Tm: 0.1347 0.1621 0.9903  8 Er 3.31-3.63, 2 Ho 3.35-3.51, 1 Tm 3.44
Tm: 0.2865 0.6736 0.4892  9 Er 3.31-3.58, 2 Tm 3.39-3.57
Tm: 0.5000 0.0000 0.5000  2 Tm 3.39, 10 Er 3.50-3.79
Tm: 0.7135 0.3264 0.5108  9 Er 3.31-3.58, 2 Tm 3.39-3.57
Tm: 0.8653 0.8379 0.0097  8 Er 3.31-3.63, 2 Ho 3.35-3.51, 1 Tm 3.44

---

No. 2
DFT (PBE-GGA) results for Ho4Er19Tm6 after structural relaxation.

* ΔE_f: 0.398 eV per atom
* total DFT energy (no corrections): -4.148 eV per atom
* total magnetization: 0.1 μB/f.u.

Unit cell a=10.6541 b=10.6541 c=10.6541 alpha=109.47 beta=109.47 gamma=109.47
Closest atoms and distances in Å follow each position.
Positions (direct):
Ho: 0.0000 0.0000 0.6439  9 Er 3.27-3.37
Ho: 0.0000 0.6439 0.0000  9 Er 3.27-3.37
Ho: 0.3561 0.3561 0.3561  9 Er 3.27-3.37
Ho: 0.6439 0.0000 0.0000  9 Er 3.27-3.37
Er: 0.0000 0.0000 0.0000  6 Er 3.25
Er: 0.0000 0.2638 0.2638  5 Er 3.25-3.48, 2 Ho 3.27, 2 Tm 3.31
Er: 0.0000 0.7362 0.7362  5 Er 3.25-3.48, 2 Ho 3.27, 2 Tm 3.31
Er: 0.0123 0.8004 0.3392  2 Tm 3.16-3.52, 2 Ho 3.31-3.37, 2 Er 3.34-3.48
Er: 0.1996 0.2118 0.5388  2 Tm 3.16-3.52, 2 Ho 3.31-3.37, 2 Er 3.34-3.48
Er: 0.2118 0.5388 0.1996  2 Tm 3.16-3.52, 2 Ho 3.31-3.37, 2 Er 3.34-3.48
Er: 0.2638 0.0000 0.2638  5 Er 3.25-3.48, 2 Ho 3.27, 2 Tm 3.31
Er: 0.2638 0.2638 0.0000  5 Er 3.25-3.48, 2 Ho 3.27, 2 Tm 3.31
Er: 0.3269 0.7882 0.9877  2 Tm 3.16-3.52, 2 Ho 3.31-3.37, 2 Er 3.34-3.48
Er: 0.3392 0.0123 0.8004  2 Tm 3.16-3.52, 2 Ho 3.31-3.37, 2 Er 3.34-3.48
Er: 0.4612 0.6731 0.6608  2 Tm 3.16-3.52, 2 Ho 3.31-3.37, 2 Er 3.34-3.48
Er: 0.5388 0.1996 0.2118  2 Tm 3.16-3.52, 2 Ho 3.31-3.37, 2 Er 3.34-3.48
Er: 0.6608 0.4612 0.6731  2 Tm 3.16-3.52, 2 Ho 3.31-3.37, 2 Er 3.34-3.48
Er: 0.6731 0.6608 0.4612  2 Tm 3.16-3.52, 2 Ho 3.31-3.37, 2 Er 3.34-3.48
Er: 0.7362 0.0000 0.7362  5 Er 3.25-3.48, 2 Ho 3.27, 2 Tm 3.31
Er: 0.7362 0.7362 0.0000  5 Er 3.25-3.48, 2 Ho 3.27, 2 Tm 3.31
Er: 0.7882 0.9877 0.3269  2 Tm 3.16-3.52, 2 Ho 3.31-3.37, 2 Er 3.34-3.48
Er: 0.8004 0.3392 0.0123  2 Tm 3.16-3.52, 2 Ho 3.31-3.37, 2 Er 3.34-3.48
Er: 0.9877 0.3269 0.7882  2 Tm 3.16-3.52, 2 Ho 3.31-3.37, 2 Er 3.34-3.48
Tm: 0.1286 0.6286 0.5000  6 Er 3.16-3.52, 1 Tm 3.16
Tm: 0.3714 0.5000 0.8714  6 Er 3.16-3.52, 1 Tm 3.16
Tm: 0.5000 0.1286 0.6286  6 Er 3.16-3.52, 1 Tm 3.16
Tm: 0.5000 0.8714 0.3714  6 Er 3.16-3.52, 1 Tm 3.16
Tm: 0.6286 0.5000 0.1286  6 Er 3.16-3.52, 1 Tm 3.16
Tm: 0.8714 0.3714 0.5000  6 Er 3.16-3.52, 1 Tm 3.16

---

No. 3
DFT (PBE-GGA) results for HoEr12Tm5 after structural relaxation.

* ΔE_f: 0.013 eV per atom
* total DFT energy (no corrections): -4.525 eV per atom
* total magnetization: 0.0 μB/f.u.

Unit cell a=6.0726 b=6.0726 c=17.1048 alpha=93.38 beta=93.38 gamma=119.99
Closest atoms and distances in Å follow each position.
Positions (direct):
Ho: 0.0000 0.0000 0.0000  6 Er 3.48, 6 Tm 3.51
Er: 0.0556 0.3894 0.1663  9 Er 3.47-3.51, 2 Tm 3.47-3.48, 1 Ho 3.48
Er: 0.1114 0.1114 0.3326  9 Er 3.47-3.51, 3 Tm 3.49
Er: 0.2219 0.5553 0.6674  9 Er 3.47-3.51, 3 Tm 3.49
Er: 0.2781 0.2781 0.8337  9 Er 3.47-3.51, 2 Tm 3.48, 1 Ho 3.48
Er: 0.3894 0.0556 0.1663  9 Er 3.47-3.51, 2 Tm 3.47-3.48, 1 Ho 3.48
Er: 0.4447 0.7781 0.3326  9 Er 3.47-3.51, 3 Tm 3.49
Er: 0.5553 0.2219 0.6674  9 Er 3.47-3.51, 3 Tm 3.49
Er: 0.6106 0.9444 0.8337  9 Er 3.47-3.51, 2 Tm 3.47-3.48, 1 Ho 3.48
Er: 0.7219 0.7219 0.1663  9 Er 3.47-3.51, 2 Tm 3.48, 1 Ho 3.48
Er: 0.7781 0.4447 0.3326  9 Er 3.47-3.51, 3 Tm 3.49
Er: 0.8886 0.8886 0.6674  9 Er 3.47-3.51, 3 Tm 3.49
Er: 0.9444 0.6106 0.8337  9 Er 3.47-3.51, 2 Tm 3.47-3.48, 1 Ho 3.48
Tm: 0.1666 0.8334 0.5000  6 Er 3.49, 6 Tm 3.50-3.51
Tm: 0.3333 0.6667 0.0000  6 Er 3.47-3.48, 3 Tm 3.51, 3 Ho 3.51
Tm: 0.5000 0.5000 0.5000  6 Er 3.49, 6 Tm 3.51
Tm: 0.6667 0.3333 0.0000  6 Er 3.47-3.48, 3 Tm 3.51, 3 Ho 3.51
Tm: 0.8334 0.1666 0.5000  6 Er 3.49, 6 Tm 3.50-3.51

---

No. 4
DFT (PBE-GGA) results for Ho4Er2Tm5 after structural relaxation.

* offset from the most stable computed form: 5.6 kJ per mole of atoms
* ΔE_f: 0.159 eV per atom
* total DFT energy (no corrections): -4.368 eV per atom
* total magnetization: 0.0 μB/f.u.

Unit cell a=11.8114 b=11.8114 c=8.5400 alpha=97.07 beta=97.07 gamma=16.72
Closest atoms and distances in Å follow each position.
Positions (direct):
Ho: 0.0456 0.0456 0.3595  3 Tm 3.21-3.56, 2 Er 3.21-3.31, 5 Ho 3.40-3.54
Ho: 0.3231 0.3231 0.5274  6 Ho 3.43-3.80, 5 Tm 3.48-3.57, 2 Er 3.65
Ho: 0.6769 0.6769 0.4726  6 Ho 3.43-3.80, 5 Tm 3.48-3.57, 2 Er 3.65
Ho: 0.9544 0.9544 0.6405  3 Tm 3.21-3.56, 2 Er 3.21-3.31, 5 Ho 3.40-3.54
Er: 0.0915 0.0915 0.7417  2 Ho 3.21-3.31, 2 Tm 3.28-3.29, 2 Er 3.43
Er: 0.9085 0.9085 0.2583  2 Ho 3.21-3.31, 2 Tm 3.28-3.29, 2 Er 3.43
Tm: 0.1410 0.1410 0.1194  3 Ho 3.21-3.48, 1 Er 3.29, 5 Tm 3.41-3.49
Tm: 0.2323 0.2323 0.8257  1 Er 3.28, 7 Tm 3.41-3.49, 3 Ho 3.51-3.57
Tm: 0.5000 0.5000 0.0000  6 Tm 3.43-3.74, 4 Ho 3.56, 4 Er 3.68
Tm: 0.7677 0.7677 0.1743  1 Er 3.28, 7 Tm 3.41-3.49, 3 Ho 3.51-3.57
Tm: 0.8590 0.8590 0.8806  3 Ho 3.21-3.48, 1 Er 3.29, 5 Tm 3.41-3.49

---

No. 5
DFT (PBE-GGA) results for Ho4Er2Tm5 after structural relaxation.

* offset from the most stable computed form: 0.0 kJ per mole of atoms
* ΔE_f: 0.101 eV per atom
* total DFT energy (no corrections): -4.426 eV per atom
* total magnetization: 0.0 μB/f.u.

Unit cell a=8.5167 b=8.5167 c=9.1617 alpha=122.25 beta=122.25 gamma=38.12
Closest atoms and distances in Å follow each position.
Positions (direct):
Ho: 0.0505 0.0505 0.3029  3 Tm 3.12-3.48, 2 Ho 3.34, 2 Er 3.45
Ho: 0.3150 0.3150 0.5124  5 Ho 3.34-3.55, 5 Tm 3.41-3.72, 2 Er 3.52-3.69
Ho: 0.6850 0.6850 0.4876  5 Ho 3.34-3.55, 5 Tm 3.41-3.72, 2 Er 3.52-3.69
Ho: 0.9495 0.9495 0.6971  3 Tm 3.12-3.48, 2 Ho 3.34, 2 Er 3.45
Er: 0.4084 0.4084 0.2456  6 Tm 3.31-3.66, 4 Ho 3.45-3.69
Er: 0.5916 0.5916 0.7544  6 Tm 3.31-3.66, 4 Ho 3.45-3.69
Tm: 0.1568 0.1568 0.0617  3 Ho 3.12-3.48, 3 Tm 3.31-3.42, 1 Er 3.40
Tm: 0.2137 0.2137 0.7545  3 Tm 3.31-3.42, 2 Er 3.41, 4 Ho 3.42-3.56
Tm: 0.5000 0.5000 0.0000  2 Er 3.31, 4 Tm 3.58, 4 Ho 3.68
Tm: 0.7863 0.7863 0.2455  3 Tm 3.31-3.42, 2 Er 3.41, 4 Ho 3.42-3.56
Tm: 0.8432 0.8432 0.9383  3 Ho 3.12-3.48, 3 Tm 3.31-3.42, 1 Er 3.40

---

No. 6
DFT (PBE-GGA) results for Ho5Er5Tm2 after structural relaxation.

* ΔE_f: 0.022 eV per atom
* total DFT energy (no corrections): -4.532 eV per atom
* total magnetization: 0.0 μB/f.u.

Unit cell a=7.8272 b=7.8272 c=11.0732 alpha=115.07 beta=115.07 gamma=36.87
Closest atoms and distances in Å follow each position.
Positions (direct):
Ho: 0.0000 0.0000 0.0000  6 Er 3.50, 2 Ho 3.50, 4 Tm 3.50
Ho: 0.0832 0.0832 0.7500  3 Ho 3.50, 2 Tm 3.50, 7 Er 3.50-3.51
Ho: 0.1665 0.1665 0.4998  4 Ho 3.50, 5 Er 3.50-3.51, 3 Tm 3.50
Ho: 0.8335 0.8335 0.5002  4 Ho 3.50, 5 Er 3.50-3.51, 3 Tm 3.50
Ho: 0.9168 0.9168 0.2500  3 Ho 3.50, 2 Tm 3.50, 7 Er 3.50-3.51
Er: 0.2496 0.2496 0.2496  2 Tm 3.50, 6 Ho 3.50-3.51, 4 Er 3.50-3.51
Er: 0.3332 0.3332 0.9998  5 Er 3.50, 2 Tm 3.50-3.51, 5 Ho 3.50
Er: 0.5000 0.5000 0.5000  8 Ho 3.50, 2 Tm 3.50, 2 Er 3.51
Er: 0.6668 0.6668 0.0002  5 Er 3.50, 2 Tm 3.50-3.51, 5 Ho 3.50
Er: 0.7504 0.7504 0.7504  2 Tm 3.50, 6 Ho 3.50-3.51, 4 Er 3.50-3.51
Tm: 0.4165 0.4165 0.7500  5 Er 3.50-3.51, 7 Ho 3.50
Tm: 0.5835 0.5835 0.2500  5 Er 3.50-3.51, 7 Ho 3.50

---

Which value of total magnetization does entry 4 give?
0.0 μB/f.u.